Below is Sb2MoO8 after structural relaxation, with properties calculated at the GGA+U level.

a b c (Å): 5.016 5.569 5.589
angles (deg): 92.02 105.22 92.57
Space group P-1 (No. 2)
One atom of each set of equivalent atoms:
Sb 0.027 0.263 0.374
Mo 0.500 0.000 0.000
O 0.214 0.067 0.670
O 0.214 0.587 0.435
O 0.270 0.712 0.946
O 0.275 0.140 0.185

## Properties
Magnetization, μB/atom: 0.000
Final energy, eV per cell: -68.38